(1)
DFT (PBE) results for a relaxed structure of ZrVSn2Te.

Cell and atoms, written as POSCAR:
```
ZrVSn2Te
1.0
5.178 0.000 0.000
0.000 5.178 0.000
0.000 0.000 4.899
Zr V Sn Te
1 1 2 1
Cartesian
0.000 0.000 0.000
0.000 0.000 2.449
0.000 2.589 2.449
2.589 0.000 2.449
2.589 2.589 0.000
```

Values from the calculation:
The formation energy without anion corrections comes out at 262 meV/atom. The symmetry is P4/mmm (123). The density of states at the Fermi level is 3.8 states/eV per cell.

=====

(2)
DFT (PBE) results for a relaxed structure of Sn2TeW.

Cell and atoms, written as POSCAR:
```
Sn2TeW
1.0
-3.242 3.242 6.689
3.242 -3.242 6.689
3.242 3.242 -6.689
Sn Te W
4 2 2
Cartesian
4.864 1.320 -1.672
1.320 1.621 1.672
-1.621 1.923 5.017
1.923 1.621 8.361
3.242 0.000 3.345
0.000 0.000 6.689
0.000 0.000 0.000
0.000 3.242 3.345
```

Values from the calculation:
The formation energy without anion corrections comes out at 987 meV/atom. The symmetry is I-42d (122). The density of states at the Fermi level is 4.2 states/eV per cell.

=====

Question: The highest formation energy without anion corrections belongs to which entry?
Answer: Sn2TeW